Entry 1:
VASP calculation (PBE) on a relaxed structure of KBa3Sb2O.

Unit cell a=9.727 b=9.727 c=9.727 alpha=148.64 beta=148.03 gamma=45.39
Sites, in units of the cell vectors:
K 0.000 0.000 0.000
Ba 0.159 0.659 0.500
Ba 0.500 0.500 0.000
Ba 0.841 0.341 0.500
Sb 0.359 0.859 0.500
Sb 0.641 0.141 0.500
O 0.000 0.500 0.500

The calculation puts the total moment at 0.00 μB/f.u. The calculation puts the formation energy without anion corrections at -1.24 eV/atom.


Entry 2:
VASP calculation (PBE) on a relaxed structure of KBa4Sb3O12.

Unit cell a=7.402 b=7.402 c=7.402 alpha=109.47 beta=109.47 gamma=109.47
Sites, in units of the cell vectors:
K 0.000 0.000 0.000
Ba 0.000 0.000 0.500
Ba 0.000 0.500 0.000
Ba 0.500 0.000 0.000
Ba 0.500 0.500 0.500
Sb 0.000 0.500 0.500
Sb 0.500 0.000 0.500
Sb 0.500 0.500 0.000
O 0.000 0.278 0.278
O 0.000 0.722 0.722
O 0.250 0.500 0.750
O 0.250 0.750 0.500
O 0.278 0.000 0.278
O 0.278 0.278 0.000
O 0.500 0.250 0.750
O 0.500 0.750 0.250
O 0.722 0.000 0.722
O 0.722 0.722 0.000
O 0.750 0.250 0.500
O 0.750 0.500 0.250

The calculation puts the total moment at 0.00 μB/f.u. The calculation puts the formation energy without anion corrections at -2.06 eV/atom.


Entry 3:
VASP calculation (PBE) on a relaxed structure of K4BaSb3O12.

Unit cell a=7.498 b=7.498 c=7.498 alpha=109.47 beta=109.47 gamma=109.47
Sites, in units of the cell vectors:
K 0.000 0.000 0.500
K 0.000 0.500 0.000
K 0.500 0.000 0.000
K 0.500 0.500 0.500
Ba 0.000 0.000 0.000
Sb 0.000 0.500 0.500
Sb 0.500 0.000 0.500
Sb 0.500 0.500 0.000
O 0.000 0.284 0.284
O 0.000 0.716 0.716
O 0.250 0.500 0.750
O 0.250 0.750 0.500
O 0.284 0.000 0.284
O 0.284 0.284 0.000
O 0.500 0.250 0.750
O 0.500 0.750 0.250
O 0.716 0.000 0.716
O 0.716 0.716 0.000
O 0.750 0.250 0.500
O 0.750 0.500 0.250

The calculation puts the total moment at 3.10 μB/f.u. The calculation puts the formation energy without anion corrections at -1.39 eV/atom.


Entry 4:
VASP calculation (PBE) on a relaxed structure of KBa2SbO.

Unit cell a=5.479 b=5.479 c=5.298 alpha=90.00 beta=90.00 gamma=90.00
Sites, in units of the cell vectors:
K 0.000 0.000 0.000
Ba 0.000 0.500 0.500
Ba 0.500 0.000 0.500
Sb 0.500 0.500 0.000
O 0.000 0.000 0.500

The calculation puts the total moment at 0.00 μB/f.u. The calculation puts the formation energy without anion corrections at -1.46 eV/atom.